(1)
Computed, not measured: a relaxed BaBe2Ni crystal at the PBE level of DFT.

a b c (Å): 6.7020 6.7020 6.7020
angles (deg): 90.00 90.00 90.00
Space group F-43m (No. 216)
Asymmetric unit:
Ba1 0.0000 0.0000 0.0000 (multiplicity 4)
Be1 0.0000 0.0000 0.5000 (multiplicity 4)
Be2 0.2500 0.2500 0.2500 (multiplicity 4)
Ni1 0.2500 0.2500 0.7500 (multiplicity 4)

Computed properties:
- Spin magnetization: 0.01 μB per formula unit
- Crystal system: cubic
- E_tot: -2.830 eV per atom
- ρ: 4.7 g/cm3
- Calculated volume: 301.03 Å³/cell

(2)
Computed, not measured: a relaxed BaBeNi crystal at the PBE level of DFT.

a b c (Å): 7.0927 7.0927 7.0927
angles (deg): 90.00 90.00 90.00
Space group F-43m (No. 216)
Asymmetric unit:
Ba1 0.0000 0.0000 0.0000 (multiplicity 4)
Be1 0.2500 0.2500 0.7500 (multiplicity 4)
Ni1 0.2500 0.2500 0.2500 (multiplicity 4)

Computed properties:
- Spin magnetization: 0.02 μB per formula unit
- Crystal system: cubic
- ρ: 3.8 g/cm3
- ΔE to the lowest computed polymorph: 1.769 eV per formula unit
- Calculated volume: 356.82 Å³/cell

(3)
Computed, not measured: a relaxed BaBeNi crystal at the PBE level of DFT.

a b c (Å): 6.7068 6.7068 6.7068
angles (deg): 90.00 90.00 90.00
Space group F-43m (No. 216)
Asymmetric unit:
Ba1 0.0000 0.0000 0.0000 (multiplicity 4)
Be1 0.0000 0.0000 0.5000 (multiplicity 4)
Ni1 0.2500 0.2500 0.2500 (multiplicity 4)

Computed properties:
- Spin magnetization: 0.00 μB per formula unit
- Crystal system: cubic
- ρ: 4.5 g/cm3
- ΔE to the lowest computed polymorph: 0.000 eV per formula unit
- Calculated volume: 301.68 Å³/cell

(4)
Computed, not measured: a relaxed BaBeNiSn crystal at the PBE level of DFT.

a b c (Å): 7.0007 7.0007 7.0007
angles (deg): 90.00 90.00 90.00
Space group F-43m (No. 216)
Asymmetric unit:
Ba1 0.0000 0.0000 0.0000 (multiplicity 4)
Be1 0.2500 0.2500 0.7500 (multiplicity 4)
Ni1 0.2500 0.2500 0.2500 (multiplicity 4)
Sn1 0.0000 0.0000 0.5000 (multiplicity 4)

Computed properties:
- Spin magnetization: 0.01 μB per formula unit
- Crystal system: cubic
- ρ: 6.3 g/cm3
- ΔE to the lowest computed polymorph: 0.000 eV per formula unit
- Calculated volume: 343.10 Å³/cell

(5)
Computed, not measured: a relaxed BaBeNiSn crystal at the PBE level of DFT.

a b c (Å): 7.1667 7.1667 7.1667
angles (deg): 90.00 90.00 90.00
Space group F-43m (No. 216)
Asymmetric unit:
Ba1 0.0000 0.0000 0.0000 (multiplicity 4)
Be1 0.0000 0.0000 0.5000 (multiplicity 4)
Ni1 0.2500 0.2500 0.7500 (multiplicity 4)
Sn1 0.2500 0.2500 0.2500 (multiplicity 4)

Computed properties:
- Spin magnetization: 0.20 μB per formula unit
- Crystal system: cubic
- ρ: 5.8 g/cm3
- ΔE to the lowest computed polymorph: 1.066 eV per formula unit
- Calculated volume: 368.09 Å³/cell

(6)
Computed, not measured: a relaxed Ba2BeOsS6 crystal at the PBE level of DFT.

a b c (Å): 9.4035 9.4035 9.4035
angles (deg): 90.00 90.00 90.00
Space group Fm-3m (No. 225)
Asymmetric unit:
Ba1 0.2500 0.2500 0.2500 (multiplicity 8)
Be1 0.0000 0.0000 0.0000 (multiplicity 4)
Os1 0.0000 0.0000 0.5000 (multiplicity 4)
S1 0.0000 0.0000 0.2465 (multiplicity 24)

Computed properties:
- Spin magnetization: 0.00 μB per formula unit
- Crystal system: cubic
- E_tot: -5.140 eV per atom
- ρ: 5.3 g/cm3
- Calculated volume: 831.51 Å³/cell

(7)
Computed, not measured: a relaxed BaBeTeOs crystal at the PBE level of DFT.

a b c (Å): 7.0276 7.0276 7.0276
angles (deg): 90.00 90.00 90.00
Space group F-43m (No. 216)
Asymmetric unit:
Ba1 0.0000 0.0000 0.0000 (multiplicity 4)
Be1 0.2500 0.2500 0.7500 (multiplicity 4)
Te1 0.2500 0.2500 0.2500 (multiplicity 4)
Os1 0.0000 0.0000 0.5000 (multiplicity 4)

Computed properties:
- Spin magnetization: 0.03 μB per formula unit
- Crystal system: cubic
- ρ: 8.9 g/cm3
- ΔE to the lowest computed polymorph: 0.000 eV per formula unit
- Calculated volume: 347.07 Å³/cell

(8)
Computed, not measured: a relaxed BaBeTeOs crystal at the PBE level of DFT.

a b c (Å): 7.2328 7.2328 7.2328
angles (deg): 90.00 90.00 90.00
Space group F-43m (No. 216)
Asymmetric unit:
Ba1 0.0000 0.0000 0.0000 (multiplicity 4)
Be1 0.0000 0.0000 0.5000 (multiplicity 4)
Te1 0.2500 0.2500 0.7500 (multiplicity 4)
Os1 0.2500 0.2500 0.2500 (multiplicity 4)

Computed properties:
- Spin magnetization: 1.37 μB per formula unit
- Crystal system: cubic
- ρ: 8.1 g/cm3
- ΔE to the lowest computed polymorph: 1.422 eV per formula unit
- Calculated volume: 378.38 Å³/cell

(9)
Computed, not measured: a relaxed BaBeOsW crystal at the PBE level of DFT.

a b c (Å): 6.5346 6.5346 6.5346
angles (deg): 90.00 90.00 90.00
Space group F-43m (No. 216)
Asymmetric unit:
Ba1 0.0000 0.0000 0.0000 (multiplicity 4)
Be1 0.0000 0.0000 0.5000 (multiplicity 4)
Os1 0.2500 0.2500 0.2500 (multiplicity 4)
W1 0.2500 0.2500 0.7500 (multiplicity 4)

Computed properties:
- Spin magnetization: 0.20 μB per formula unit
- Crystal system: cubic
- ρ: 12.4 g/cm3
- ΔE to the lowest computed polymorph: 1.765 eV per formula unit
- Calculated volume: 279.04 Å³/cell

(10)
Computed, not measured: a relaxed BaBeOsW crystal at the PBE level of DFT.

a b c (Å): 6.6273 6.6273 6.6273
angles (deg): 90.00 90.00 90.00
Space group F-43m (No. 216)
Asymmetric unit:
Ba1 0.0000 0.0000 0.0000 (multiplicity 4)
Be1 0.2500 0.2500 0.7500 (multiplicity 4)
Os1 0.0000 0.0000 0.5000 (multiplicity 4)
W1 0.2500 0.2500 0.2500 (multiplicity 4)

Computed properties:
- Spin magnetization: 0.00 μB per formula unit
- Crystal system: cubic
- ρ: 11.9 g/cm3
- ΔE to the lowest computed polymorph: 0.000 eV per formula unit
- Calculated volume: 291.08 Å³/cell

(11)
Computed, not measured: a relaxed BaBeOsW crystal at the PBE level of DFT.

a b c (Å): 6.7449 6.7449 6.7449
angles (deg): 90.00 90.00 90.00
Space group F-43m (No. 216)
Asymmetric unit:
Ba1 0.0000 0.0000 0.0000 (multiplicity 4)
Be1 0.2500 0.2500 0.2500 (multiplicity 4)
Os1 0.2500 0.2500 0.7500 (multiplicity 4)
W1 0.0000 0.0000 0.5000 (multiplicity 4)

Computed properties:
- Spin magnetization: 0.48 μB per formula unit
- Crystal system: cubic
- ρ: 11.3 g/cm3
- ΔE to the lowest computed polymorph: 0.740 eV per formula unit
- Calculated volume: 306.85 Å³/cell

(12)
Computed, not measured: a relaxed BaBePdPb crystal at the PBE level of DFT.

a b c (Å): 7.2729 7.2729 7.2729
angles (deg): 90.00 90.00 90.00
Space group F-43m (No. 216)
Asymmetric unit:
Ba1 0.0000 0.0000 0.0000 (multiplicity 4)
Be1 0.2500 0.2500 0.2500 (multiplicity 4)
Pd1 0.2500 0.2500 0.7500 (multiplicity 4)
Pb1 0.0000 0.0000 0.5000 (multiplicity 4)

Computed properties:
- Crystal system: cubic
- ρ: 7.9 g/cm3
- ΔE to the lowest computed polymorph: 0.000 eV per formula unit
- Calculated volume: 384.70 Å³/cell